DFT (GGA-PBE) results for a geometry-optimized LiSn3Pd structure.

a b c (Å): 5.253 5.253 5.253
angles (deg): 90.00 90.00 90.00
Atoms (fractional coordinates):
Li  0.000  0.000  0.000
Sn  0.000  0.500  0.500
Sn  0.500  0.000  0.500
Sn  0.500  0.500  0.000
Pd  0.500  0.500  0.500

Results
The space-group type is Pm-3m. The calculation puts the energy relative to the elements at 35 meV/atom. The calculated density is 5.4 g/cm³. Its energy relative to the lowest polymorph listed for this composition is 32.5 kJ/mol of atoms.


DFT (GGA-PBE) results for a geometry-optimized Cs2LiF structure.

a b c (Å): 6.303 6.303 6.303
angles (deg): 60.00 60.00 60.00
Atoms (fractional coordinates):
Cs  0.250  0.250  0.250
Cs  0.750  0.750  0.750
Li  0.000  0.000  0.000
F  0.500  0.500  0.500

Results
The space-group type is Fm-3m. The calculated density is 2.7 g/cm³. As for the formation energy (no corrections): -0.797 eV per atom. Its energy relative to the lowest polymorph listed for this composition is 34.6 kJ/mol of atoms.


DFT (GGA-PBE) results for a geometry-optimized AcErB4 structure.

a b c (Å): 6.454 12.436 4.162
angles (deg): 90.00 90.00 90.00
Atoms (fractional coordinates):
Ac  0.129  0.152  0.000
Ac  0.371  0.652  0.000
Ac  0.629  0.348  0.000
Ac  0.871  0.848  0.000
Er  0.140  0.409  0.000
Er  0.360  0.909  0.000
Er  0.640  0.091  0.000
Er  0.860  0.591  0.000
B  0.035  0.691  0.500
B  0.113  0.546  0.500
B  0.131  0.971  0.500
B  0.205  0.811  0.500
B  0.295  0.311  0.500
B  0.369  0.471  0.500
B  0.387  0.046  0.500
B  0.465  0.191  0.500
B  0.535  0.809  0.500
B  0.613  0.954  0.500
B  0.631  0.529  0.500
B  0.705  0.689  0.500
B  0.795  0.189  0.500
B  0.869  0.029  0.500
B  0.887  0.454  0.500
B  0.965  0.309  0.500

Results
The space-group type is Pbam. The calculation puts the energy relative to the elements at -171 meV/atom. The calculated density is 8.7 g/cm³.


DFT (GGA-PBE) results for a geometry-optimized CaAl2 structure.

a b c (Å): 6.431 6.431 6.431
angles (deg): 130.56 130.56 72.51
Atoms (fractional coordinates):
Ca  0.250  0.250  0.000
Ca  0.750  0.750  0.000
Al  0.180  0.680  0.860
Al  0.320  0.180  0.500
Al  0.680  0.820  0.500
Al  0.820  0.320  0.140

Results
The space-group type is I4/mcm. The calculation puts the energy relative to the elements at -7 meV/atom. The calculated density is 2.1 g/cm³.


DFT (GGA-PBE) results for a geometry-optimized Nd2ErPu structure.

a b c (Å): 3.562 3.562 10.150
angles (deg): 90.00 90.00 90.00
Atoms (fractional coordinates):
Nd  0.000  0.000  0.247
Nd  0.000  0.000  0.753
Er  0.500  0.500  0.500
Pu  0.500  0.500  0.000

Results
The space-group type is P4/mmm. The calculation puts the energy relative to the elements at 115 meV/atom. The calculated density is 9.0 g/cm³. Its energy relative to the lowest polymorph listed for this composition is 0.0 kJ/mol of atoms.


DFT (GGA-PBE) results for a geometry-optimized Sr3CuNi structure.

a b c (Å): 5.659 5.659 5.659
angles (deg): 90.00 90.00 90.00
Atoms (fractional coordinates):
Sr  0.000  0.000  0.500
Sr  0.000  0.500  0.000
Sr  0.500  0.000  0.000
Cu  0.500  0.500  0.500
Ni  0.000  0.000  0.000

Results
The space-group type is Pm-3m. The calculation puts the energy relative to the elements at 213 meV/atom. The calculated density is 3.5 g/cm³. Its energy relative to the lowest polymorph listed for this composition is 0.0 kJ/mol of atoms.


DFT (GGA-PBE) results for a geometry-optimized Zr5CN structure.

a b c (Å): 6.024 6.024 8.711
angles (deg): 112.52 112.52 67.13
Atoms (fractional coordinates):
Zr  0.107  0.893  0.750
Zr  0.176  0.324  0.674
Zr  0.235  0.622  0.050
Zr  0.324  0.176  0.174
Zr  0.378  0.765  0.450
Zr  0.622  0.235  0.550
Zr  0.676  0.824  0.826
Zr  0.765  0.378  0.950
Zr  0.824  0.676  0.326
Zr  0.893  0.107  0.250
C  0.000  0.000  0.000
C  0.000  0.000  0.500
N  0.433  0.567  0.750
N  0.567  0.433  0.250

Results
The space-group type is C2/c. The calculated density is 6.2 g/cm³. As for the formation energy (no corrections): -0.452 eV per atom.


DFT (GGA-PBE) results for a geometry-optimized Ba3TlRh structure.

a b c (Å): 8.879 4.729 10.262
angles (deg): 90.00 98.07 90.00
Atoms (fractional coordinates):
Ba  0.071  0.250  0.337
Ba  0.269  0.250  0.940
Ba  0.376  0.750  0.609
Ba  0.624  0.250  0.391
Ba  0.731  0.750  0.060
Ba  0.929  0.750  0.663
Tl  0.353  0.750  0.214
Tl  0.647  0.250  0.786
Rh  0.174  0.250  0.653
Rh  0.826  0.750  0.347

Results
The space-group type is P2_1/m. The calculation puts the energy relative to the elements at -204 meV/atom. The calculated density is 5.6 g/cm³. Its energy relative to the lowest polymorph listed for this composition is 0.5 kJ/mol of atoms.